Computed, not measured: Nd3Zn2Pd after structural relaxation at the PBE-GGA level of DFT.

Cell and atoms, written as extended XYZ:
```
6
Lattice="-3.1469 -1.6869 3.7397 -0.0850 -2.2432 -4.6577 4.4892 -4.1380 1.9110" Properties=species:S:1:pos:R:3 pbc="T T T"
Zn -0.5376 -3.3367 1.6168
Nd -0.4049 -2.7037 -1.5603
Zn 1.7949 -4.7314 -0.6239
Pd 0.0000 0.0000 0.0000
Nd 2.2446 -2.0690 0.9555
Nd 1.6622 -5.3644 2.5533
```

Calculated values
Energy relative to the elements = -0.44 eV/atom
Space group = No. 164
Volume = 148 Å³/cell
M_tot = 0.0 μB/cell